BePt2Pb after structural relaxation, computed with GGA-PBE.

Output
energy of formation from the pure elements: -0.256 eV per atom
Fermi-level density of states: 1.786 states/eV per cell
electronic total energy: -20.54 eV/cell

abc: 2.9479 2.9948 7.6416
angles: 90.00 98.83 90.00
Last column: nearest neighbours and their distance in Å.
Positions (direct):
Be  0.0000  0.0000  0.0000  8 Pt 2.45-2.55
Pt  0.4011  0.5000  0.8206  4 Be 2.45-2.55, 1 Pt 2.71
Pt  0.5989  0.5000  0.1794  4 Be 2.45-2.55, 1 Pt 2.71
Pb  0.0000  0.0000  0.5000  4 Pb 2.95-2.99, 4 Pt 2.96

Be2Pt2Pb after structural relaxation, computed with GGA-PBE.

Output
energy of formation from the pure elements: -0.242 eV per atom
Fermi-level density of states: 4.169 states/eV per cell
electronic total energy: -48.91 eV/cell

abc: 7.2389 7.2389 2.8746
angles: 90.00 90.00 90.00
Last column: nearest neighbours and their distance in Å.
Positions (direct):
Be  0.1213  0.3787  0.0000  4 Pt 2.44, 1 Be 2.48
Be  0.3787  0.8787  0.0000  4 Pt 2.44, 1 Be 2.48
Be  0.6213  0.1213  0.0000  4 Pt 2.44, 1 Be 2.48
Be  0.8787  0.6213  0.0000  4 Pt 2.44, 1 Be 2.48
Pt  0.1489  0.6489  0.5000  4 Be 2.44
Pt  0.3511  0.1489  0.5000  4 Be 2.44
Pt  0.6489  0.8511  0.5000  4 Be 2.44
Pt  0.8511  0.3511  0.5000  4 Be 2.44
Pb  0.0000  0.0000  0.0000  2 Pb 2.87, 4 Be 2.88, 8 Pt 3.11
Pb  0.5000  0.5000  0.0000  2 Pb 2.87, 4 Be 2.88, 8 Pt 3.11

The calculation returns the following distance to the lowest polymorph of the same formula values, one per record and in order: 77 123 meV per atom.
The calculation returns the following total magnetic moment values, one per record and in order: 0.00 0.00 μB per cell.